Density functional theory data (PBE) for a geometry-optimized ThSnB structure.

a = 4.817 Å, b = 4.817 Å, c = 4.817 Å
α = 60.00°, β = 60.00°, γ = 60.00°
Fractional positions:
Th 0.000 0.000 0.000
Sn 0.750 0.750 0.750
B 0.500 0.500 0.500

Electronic total energy   -0.179 Ha/atom
Magnetization   0.00 μB per formula unit
ΔE to the lowest computed polymorph   967 meV per atom
Crystal system   cubic
Space-group type   F-43m

---

Density functional theory data (PBE) for a geometry-optimized ThSnB structure.

a = 4.872 Å, b = 4.872 Å, c = 4.872 Å
α = 60.00°, β = 60.00°, γ = 60.00°
Fractional positions:
Th 0.000 0.000 0.000
Sn 0.250 0.250 0.250
B 0.750 0.750 0.750

Electronic total energy   -0.188 Ha/atom
Magnetization   0.00 μB per formula unit
ΔE to the lowest computed polymorph   726 meV per atom
Crystal system   cubic
Space-group type   F-43m